## TbDy2Ho2Tm (PBE)

Data for TbDy2Ho2Tm after structural relaxation.

Lattice parameters (Å, degrees): 3.3446 6.5175 17.5358 90.00 90.00 90.00
Fractional coordinates of all 12 atoms:
Ho1 0.5000 0.2314 0.6479
Ho2 0.0000 0.2686 0.1479
Ho3 0.0000 0.7314 0.8521
Ho4 0.5000 0.7686 0.3521
Dy1 0.0000 0.2334 0.8173
Dy2 0.5000 0.2666 0.3173
Dy3 0.0000 0.7666 0.1827
Dy4 0.5000 0.7334 0.6827
Tm1 0.5000 0.5000 0.5000
Tm2 0.0000 0.0000 0.0000
Tb1 0.0000 0.0000 0.5000
Tb2 0.5000 0.5000 0.0000

Calculated values
Total energy in eV per atom: -4.297
M_tot in Bohr magnetons per cell: 0.00
Formation energy from the elements in kJ per mole of atoms: 27
Symmetry: No. 58

---

## TbDyHoTm (PBE)

Data for TbDyHoTm after structural relaxation.

Lattice parameters (Å, degrees): 4.9789 4.9788 6.0964 114.11 114.10 90.00
Fractional coordinates of all 4 atoms:
Dy1 0.8698 0.3698 0.7395
Ho1 0.1197 0.1198 0.2394
Tm1 0.6198 0.6198 0.2397
Tb1 0.3698 0.8698 0.7396

Calculated values
Total energy in eV per atom: -4.549
M_tot in Bohr magnetons per cell: 0.00
Formation energy from the elements in kJ per mole of atoms: 2
Excess energy over the best structure of this formula in the dataset in meV per atom: 0
Symmetry: No. 119

---

## TbDyHo2Tm5 (PBE)

Data for TbDyHo2Tm5 after structural relaxation.

Lattice parameters (Å, degrees): 5.5224 10.1575 10.4647 90.00 90.00 105.77
Fractional coordinates of all 18 atoms:
Tm1 0.4788 0.9575 0.7369
Tm2 0.2819 0.5637 0.3073
Tm3 0.9815 0.9631 0.5259
Tm4 0.7181 0.4363 0.8073
Tm5 0.3911 0.7823 0.0225
Tm6 0.6089 0.2177 0.5225
Tm7 0.6997 0.3995 0.2090
Tm8 0.0185 0.0369 0.0259
Tm9 0.5212 0.0425 0.2369
Tm10 0.3003 0.6005 0.7090
Tb1 0.7993 0.5986 0.5111
Tb2 0.2007 0.4014 0.0111
Ho1 0.1130 0.2259 0.3193
Ho2 0.1096 0.2191 0.7367
Ho3 0.8904 0.7809 0.2367
Ho4 0.8870 0.7741 0.8193
Dy1 0.5854 0.1707 0.9552
Dy2 0.4146 0.8293 0.4552

Calculated values
Total energy in eV per atom: -4.368
M_tot in Bohr magnetons per cell: 0.00
Formation energy from the elements in kJ per mole of atoms: 15
Symmetry: No. 36

---

## Tb2DyHoTm2 (PBE)

Data for Tb2DyHoTm2 after structural relaxation.

Lattice parameters (Å, degrees): 3.3551 6.4694 17.6237 90.00 90.00 90.00
Fractional coordinates of all 12 atoms:
Tb1 0.0000 0.7715 0.1856
Tb2 0.5000 0.7285 0.6856
Tb3 0.5000 0.2715 0.3144
Tb4 0.0000 0.2285 0.8144
Tm1 0.5000 0.7731 0.3530
Tm2 0.0000 0.2731 0.1470
Tm3 0.5000 0.2269 0.6470
Tm4 0.0000 0.7269 0.8530
Ho1 0.5000 0.5000 0.5000
Ho2 0.0000 0.0000 0.0000
Dy1 0.0000 0.0000 0.5000
Dy2 0.5000 0.5000 0.0000

Calculated values
Total energy in eV per atom: -4.282
M_tot in Bohr magnetons per cell: 0.00
Formation energy from the elements in kJ per mole of atoms: 27
Symmetry: No. 58